# 1
A crystal of HfSb3H relaxed with PBEsol. Source: Alexandria, functional meta-GGA SCAN.

Output
V in Å³/cell: 98
Space-group type: No. 221
Density in g cm⁻³: 9.19

POSCAR file:
```
HfSb3H
1.0
4.6168 0.0000 0.0000
0.0000 4.6168 0.0000
0.0000 0.0000 4.6168
Hf Sb H
1 3 1
Cartesian
0.0000 0.0000 0.0000 Hf
0.0000 2.3084 2.3084 Sb
2.3084 0.0000 2.3084 Sb
2.3084 2.3084 0.0000 Sb
2.3084 2.3084 2.3084 H
```

# 2
A crystal of Hf3ScH relaxed with PBEsol. Source: Alexandria, functional meta-GGA SCAN.

Output
V in Å³/cell: 88
Space-group type: No. 221
Density in g cm⁻³: 11.01

POSCAR file:
```
Hf3ScH
1.0
4.4430 0.0000 0.0000
0.0000 4.4430 0.0000
0.0000 0.0000 4.4430
Hf Sc H
3 1 1
Cartesian
0.0000 0.0000 2.2215 Hf
0.0000 2.2215 0.0000 Hf
2.2215 0.0000 0.0000 Hf
2.2215 2.2215 2.2215 Sc
0.0000 0.0000 0.0000 H
```

Number 1: total energy -175.64 eV/cell. Number 2: total energy -206.03 eV/cell.